(1)
Below is a crystal of Al5Ag3 relaxed with PBEsol, with properties calculated at the meta-GGA SCAN level.

The formation enthalpy at 0 K is -0.014 eV/atom. The value obtained for the density of states at the Fermi level is 2.7 states/eV per cell. The energy above the most stable polymorph in this dataset comes out at 45 kJ/mol of formula units.

The structure belongs to space group Pmmm (No. 47); the cell edges are 3.951, 4.042 and 8.174 Å and the angles 90.00°, 90.00° and 90.00°. The asymmetric unit holds Al at (0.000, 0.000, 0.000), Al at (0.000, 0.000, 0.500), Al at (0.000, 0.500, 0.248), Al at (0.500, 0.500, 0.500), Ag at (0.500, 0.000, 0.251) and Ag at (0.500, 0.500, 0.000).


(2)
Below is a crystal of Al3Ag5 relaxed with PBEsol, with properties calculated at the meta-GGA SCAN level.

The formation enthalpy at 0 K is -0.096 eV/atom. The value obtained for the density of states at the Fermi level is 4.0 states/eV per cell. The energy above the most stable polymorph in this dataset comes out at 13 kJ/mol of formula units.

The structure belongs to space group C222 (No. 21); the cell edges are 5.639, 8.121 and 5.586 Å and the angles 90.00°, 90.00° and 90.00°. The asymmetric unit holds Al at (0.000, 0.000, 0.000), Al at (0.250, 0.250, 0.734), Ag at (0.000, 0.000, 0.500), Ag at (0.000, 0.500, 0.000), Ag at (0.000, 0.500, 0.500) and Ag at (0.250, 0.250, 0.235).


(3)
Below is a crystal of AlAg relaxed with PBEsol, with properties calculated at the meta-GGA SCAN level.

The formation enthalpy at 0 K is -0.094 eV/atom. The value obtained for the density of states at the Fermi level is 2.1 states/eV per cell.

The structure belongs to space group P2_13 (No. 198); the cell edges are 5.071, 5.071 and 5.071 Å and the angles 90.00°, 90.00° and 90.00°. The asymmetric unit holds Al at (0.100, 0.100, 0.100) and Ag at (0.099, 0.599, 0.901).


(4)
Below is a crystal of Al3Ag5 relaxed with PBEsol, with properties calculated at the meta-GGA SCAN level.

The formation enthalpy at 0 K is -0.064 eV/atom. The value obtained for the density of states at the Fermi level is 7.2 states/eV per cell. The energy above the most stable polymorph in this dataset comes out at 38 kJ/mol of formula units.

The structure belongs to space group R3m (No. 160, hexagonal axes); the cell edges are 2.9006, 2.9006 and 53.5408 Å and the angles 90.00°, 90.00° and 120.00°. The asymmetric unit holds Al at (0.0000, 0.0000, 0.0000), Al at (0.0000, 0.0000, 0.1241), Al at (0.0000, 0.0000, 0.6249), Ag at (0.0000, 0.0000, 0.2516), Ag at (0.0000, 0.0000, 0.3733), Ag at (0.0000, 0.0000, 0.4978), Ag at (0.0000, 0.0000, 0.7504) and Ag at (0.0000, 0.0000, 0.8748).


(5)
Below is a crystal of Al2Ag3 relaxed with PBEsol, with properties calculated at the meta-GGA SCAN level.

The formation enthalpy at 0 K is -0.057 eV/atom. The value obtained for the density of states at the Fermi level is 3.1 states/eV per cell. The energy above the most stable polymorph in this dataset comes out at 20 kJ/mol of formula units.

The structure belongs to space group P2_1/m (No. 11); the cell edges are 4.844, 2.991 and 11.321 Å and the angles 90.00°, 96.65° and 90.00°. The asymmetric unit holds Al at (0.140, 0.250, 0.205), Al at (0.242, 0.750, 0.000), Ag at (0.043, 0.750, 0.395), Ag at (0.370, 0.250, 0.811) and Ag at (0.455, 0.750, 0.603).


(6)
Below is a crystal of Al5Ag3 relaxed with PBEsol, with properties calculated at the meta-GGA SCAN level.

The formation enthalpy at 0 K is -0.028 eV/atom. The value obtained for the density of states at the Fermi level is 5.2 states/eV per cell. The energy above the most stable polymorph in this dataset comes out at 34 kJ/mol of formula units.

The structure belongs to space group C222 (No. 21); the cell edges are 5.506, 8.032 and 5.922 Å and the angles 90.00°, 90.00° and 90.00°. The asymmetric unit holds Al at (0.000, 0.000, 0.000), Al at (0.000, 0.000, 0.500), Al at (0.000, 0.500, 0.000), Al at (0.250, 0.250, 0.256), Ag at (0.000, 0.500, 0.500) and Ag at (0.250, 0.250, 0.760).


(7)
Below is a crystal of Al3Ag2 relaxed with PBEsol, with properties calculated at the meta-GGA SCAN level.

The formation enthalpy at 0 K is -0.033 eV/atom. The value obtained for the density of states at the Fermi level is 3.8 states/eV per cell. The energy above the most stable polymorph in this dataset comes out at 25 kJ/mol of formula units.

The structure belongs to space group Immm (No. 71); the cell edges are 3.003, 3.941 and 13.814 Å and the angles 90.00°, 90.00° and 90.00°. The asymmetric unit holds Al at (0.000, 0.000, 0.000), Al at (0.000, 0.000, 0.199) and Ag at (0.000, 0.000, 0.396).


(8)
Below is a crystal of Al5Ag2 relaxed with PBEsol, with properties calculated at the meta-GGA SCAN level.

The formation enthalpy at 0 K is -0.008 eV/atom. The value obtained for the density of states at the Fermi level is 4.3 states/eV per cell. The energy above the most stable polymorph in this dataset comes out at 30 kJ/mol of formula units.

The structure belongs to space group C2/m (No. 12); the cell edges are 8.939, 4.001 and 6.464 Å and the angles 90.00°, 96.87° and 90.00°. The asymmetric unit holds Al at (0.000, 0.000, 0.000), Al at (0.141, 0.000, 0.425), Al at (0.211, 0.500, 0.140) and Ag at (0.078, 0.500, 0.712).


Number 1: raw total energy -132.97 eV/cell. Number 2: raw total energy -361.72 eV/cell. Number 3: raw total energy -157.23 eV/cell. Number 4: raw total energy -541.82 eV/cell. Number 5: raw total energy -219.78 eV/cell. Number 6: raw total energy -266.16 eV/cell. Number 7: raw total energy -172.31 eV/cell. Number 8: raw total energy -203.09 eV/cell.